Entry from Alexandria: a geometry-optimized ReHgPb structure (PBE).

* energy: -4.3771 eV/atom
* E above lowest polymorph: 191 meV/atom
* energy of formation: 1.109 eV per atom
* space-group type: P-6m2, No. 187

Lattice parameters (Å, degrees): 4.9815 4.9815 2.9280 90.00 90.00 120.00
Sites, in units of the cell vectors:
Pb  0.3333  0.6667  0.4997
Re  0.6667  0.3333  0.5003
Hg  0.0000  0.0000  0.9999


Entry from Alexandria: a geometry-optimized PuTiHg2 structure (PBE).

* energy: -5.7519 eV/atom
* E above lowest polymorph: 0 meV/atom
* energy of formation: -0.044 eV per atom
* space-group type: P4/mmm, No. 123

Lattice parameters (Å, degrees): 3.1074 3.1074 8.9176 90.00 90.00 90.00
Each line ends with the local moment (μB).
Sites, in units of the cell vectors:
Hg  0.0000  0.0000  0.7767  0.02
Pu  0.5000  0.5000  0.5000  -5.56
Ti  0.5000  0.5000  0.0000  0.94
Hg  0.0000  0.0000  0.2233  0.02